No. 1
PBE Rb3Np3VS8, optimized geometry; raw formation energy = -1.283 eV/atom
1.0
-2.680 3.326 -6.604
-0.376 -7.804 0.906
-5.966 4.816 4.847
S Np Rb V
8 3 3 1
Direct
0.731 0.463 0.694
0.255 0.038 0.321
0.783 0.038 0.321
0.783 0.566 0.321
0.217 0.434 0.679
0.269 0.537 0.306
0.217 0.962 0.679
0.745 0.962 0.679
0.500 0.000 0.500
0.000 0.500 0.500
0.500 0.500 0.500
0.500 0.500 0.000
0.000 0.500 0.000
0.000 0.000 0.000
0.000 0.000 0.500

=====

No. 2
PBE Ni2AgHg, optimized geometry; ΔH_f (0 K) = 23 kJ per mole of atoms
1.0
-0.267 4.937 -0.936
-2.683 4.228 0.496
1.536 2.240 3.702
Hg Ni Ag
1 2 1
Direct
0.265 0.265 0.209
0.021 0.021 0.012
0.729 0.729 0.737
0.485 0.485 0.542

=====

No. 3
PBE Er4Ge6Os7, optimized geometry; ΔH_f (0 K) = -41 kJ per mole of atoms
1.0
7.226 0.000 0.000
-2.409 6.812 0.000
-2.409 -3.406 5.900
Os Er Ge
7 4 6
Direct
0.500 0.250 0.750
0.750 0.250 0.500
0.500 0.750 0.250
0.000 0.000 0.000
0.250 0.500 0.750
0.250 0.750 0.500
0.750 0.500 0.250
0.000 0.000 0.500
0.500 0.000 0.000
0.500 0.500 0.500
0.000 0.500 0.000
0.690 0.000 0.690
0.310 0.310 0.000
0.310 0.000 0.310
0.690 0.690 0.000
0.000 0.310 0.310
0.000 0.690 0.690

=====

No. 4
PBE Cs3GeO4, optimized geometry; raw formation energy = -1.484 eV/atom; E above lowest polymorph = 0.0 meV per atom
1.0
-4.887 -6.186 -3.607
8.199 -5.338 -1.954
-0.760 -4.152 8.149
Cs O Ge
12 16 4
Direct
0.177 0.992 0.250
0.677 0.508 0.250
0.478 0.781 0.010
0.323 0.492 0.750
0.978 0.719 0.010
0.522 0.219 0.990
0.978 0.719 0.490
0.478 0.781 0.490
0.022 0.281 0.510
0.022 0.281 0.990
0.823 0.008 0.750
0.522 0.219 0.510
0.243 0.699 0.250
0.757 0.301 0.750
0.182 0.954 0.590
0.318 0.454 0.090
0.526 0.022 0.250
0.818 0.046 0.410
0.682 0.546 0.590
0.974 0.522 0.750
0.182 0.954 0.910
0.743 0.801 0.250
0.318 0.454 0.410
0.026 0.478 0.250
0.818 0.046 0.090
0.474 0.978 0.750
0.257 0.199 0.750
0.682 0.546 0.910
0.227 0.520 0.250
0.727 0.980 0.250
0.773 0.480 0.750
0.273 0.020 0.750

=====

No. 5
PBE SrLa2HgAu, optimized geometry; ΔH_f (0 K) = 82 kJ per mole of atoms
1.0
-3.645 -0.780 -4.754
1.453 -5.239 -0.254
-4.540 -1.439 3.717
Sr La Hg Au
1 2 1 1
Direct
0.000 0.000 0.000
0.000 0.000 0.500
0.500 0.000 0.000
0.000 0.500 0.000
0.500 0.500 0.500

=====

No. 6
PBE PaGaTcOs, optimized geometry; ΔH_f (0 K) = -21 kJ per mole of atoms; E above lowest polymorph = 118.1 meV per atom
1.0
-2.208 3.152 2.576
-4.563 -0.369 0.703
-1.612 -1.149 4.187
Tc Ga Os Pa
1 1 1 1
Direct
0.750 0.750 0.750
0.500 0.500 0.500
0.250 0.250 0.250
0.000 0.000 0.000

=====

No. 7
PBE TiNi6Sb, optimized geometry; raw formation energy = -0.303 eV/atom; E above lowest polymorph = 5.4 meV per atom
1.0
-5.908 1.940 -1.326
0.461 -1.259 6.215
2.831 9.840 1.784
Ni Sb Ti
24 4 4
Direct
0.878 0.633 0.871
0.367 0.122 0.871
0.633 0.878 0.871
0.245 0.755 0.743
0.755 0.245 0.743
0.628 0.882 0.621
0.245 0.755 0.257
0.882 0.628 0.379
0.633 0.878 0.129
0.878 0.633 0.129
0.372 0.118 0.379
0.372 0.118 0.621
0.882 0.628 0.621
0.500 0.500 0.500
0.367 0.122 0.129
0.755 0.245 0.257
0.118 0.372 0.621
0.000 0.000 0.000
0.122 0.367 0.129
0.500 0.500 0.000
0.118 0.372 0.379
0.122 0.367 0.871
0.000 0.000 0.500
0.628 0.882 0.379
0.500 0.500 0.746
0.500 0.500 0.254
0.751 0.249 0.000
0.249 0.751 0.000
0.000 0.000 0.745
0.000 0.000 0.255
0.245 0.755 0.500
0.755 0.245 0.500

=====

No. 8
PBE ZrAl2Pb, optimized geometry; ΔH_f (0 K) = 23 kJ per mole of atoms
1.0
7.892 0.000 0.000
0.000 7.892 0.000
3.946 3.946 2.944
Al Zr Pb
4 2 2
Direct
0.122 0.625 0.250
0.375 0.372 0.750
0.875 0.878 0.750
0.628 0.125 0.250
0.250 0.750 0.500
0.500 0.500 0.000
0.750 0.250 0.500
0.000 0.000 0.000